Entry 1:
TlMoPOsRu PBE optimized geometry; relative energy among the computed polymorphs = 2.558 kcal/mol of atoms; energy of formation from the pure elements = 168 meV per atom
1.0
5.0481 -1.4703 0.0000
5.0481 1.4703 0.0000
-5.0367 0.0000 5.3329
Tl Mo P Os Ru
1 1 1 1 1
direct
0.0000 0.0000 0.0000
0.8419 0.8419 0.2183
0.6117 0.6117 0.4792
0.1427 0.1427 0.7624
0.3254 0.3254 0.5207

Entry 2:
K2TlHgBr6 PBE optimized geometry; E_form (uncorrected) = -0.99 eV per atom
1.0
3.9583 2.2853 6.6658
-3.9583 2.2853 6.6658
0.0000 -4.5707 6.6658
K Tl Hg Br
2 1 1 6
direct
0.0000 0.0000 0.0000
0.4997 0.4997 0.4997
0.2182 0.2182 0.2182
0.7179 0.7179 0.7179
0.0452 0.8746 0.4595
0.3863 0.5551 0.9498
0.4595 0.0452 0.8746
0.5551 0.9498 0.3863
0.8746 0.4595 0.0452
0.9498 0.3863 0.5551

Entry 3:
CuOsCl2 PBE optimized geometry; E_form (uncorrected) = 0.29 eV per atom; relative energy among the computed polymorphs = 1.538 kcal/mol of atoms
1.0
1.5937 0.9201 8.3572
-1.5937 0.9201 8.3572
0.0000 -1.8402 8.3572
Cu Os Cl
1 1 2
direct
0.0000 0.0000 0.0000
0.7402 0.7402 0.7402
0.2738 0.2738 0.2738
0.4693 0.4693 0.4693

Summary of spin magnetization in μB per cell
0.0 0.0 0.0
(order as listed above)